Model 1:
Density functional theory data (GGA-PBE) for crystalline HoEr2Sb at its relaxed geometry.

Results
- SG = No. 123

abc: 4.7495 4.7495 4.7401
angles: 90.00 90.00 90.00
Fractional coordinates of all 4 atoms:
Ho 0.0000 0.0000 0.0000
Er 0.0000 0.5000 0.5000
Er 0.5000 0.0000 0.5000
Sb 0.5000 0.5000 0.0000

Model 2:
Density functional theory data (GGA-PBE) for crystalline HoEr2Sb at its relaxed geometry.

Results
- SG = No. 160

abc: 9.6418 9.6418 9.6418
angles: 23.73 23.73 23.73
Fractional coordinates of all 4 atoms:
Ho 0.0000 0.0000 0.0000
Er 0.5679 0.5679 0.5679
Er 0.7645 0.7645 0.7645
Sb 0.1657 0.1657 0.1657

Relative energies with respect to the most stable structure, expressed in meV/atom: model 1 0; model 2 151.